(1)
Y3Pb2Se: optimized geometry, GGA-PBE.

The structure in POSCAR format:
```
Y3Pb2Se
1.0
-2.0005 3.1045 6.9647
2.0005 -3.1045 6.9647
2.0005 3.1045 -6.9647
Y Pb Se
3 2 1
direct
0.0000 0.0000 0.0000 Y
0.3473 0.3473 0.0000 Y
0.6527 0.6527 0.0000 Y
0.1709 0.6709 0.5000 Pb
0.8291 0.3291 0.5000 Pb
0.5000 0.0000 0.5000 Se
```

Properties
**Final energy**: -5.96 eV per atom

---

(2)
Y2PbSe: optimized geometry, GGA-PBE.

The structure in POSCAR format:
```
Y2PbSe
1.0
-2.1606 2.1606 5.7560
2.1606 -2.1606 5.7560
2.1606 2.1606 -5.7560
Y Pb Se
2 1 1
direct
0.0000 0.0000 0.0000 Y
0.7500 0.2500 0.5000 Y
0.2500 0.7500 0.5000 Pb
0.5000 0.5000 0.0000 Se
```

Properties
**Final energy**: -5.81 eV per atom

---

(3)
YPbSe: optimized geometry, GGA-PBE.

The structure in POSCAR format:
```
YPbSe
1.0
4.8566 0.0000 0.0000
-2.4283 4.2059 0.0000
0.0000 0.0000 4.1661
Y Pb Se
1 1 1
direct
0.0000 0.0000 0.0000 Y
0.3333 0.6667 0.5000 Pb
0.6667 0.3333 0.0000 Se
```

Properties
**Final energy**: -5.26 eV per atom

---

(4)
YPbSe3: optimized geometry, GGA-PBE.

The structure in POSCAR format:
```
YPbSe3
1.0
5.4467 0.0000 0.0000
0.0000 5.4467 0.0000
0.0000 0.0000 5.4467
Y Pb Se
1 1 3
direct
0.0000 0.0000 0.0000 Y
0.5000 0.5000 0.5000 Pb
0.0000 0.0000 0.5000 Se
0.0000 0.5000 0.0000 Se
0.5000 0.0000 0.0000 Se
```

Properties
**Final energy**: -4.80 eV per atom

---

(5)
Y2PbSe: optimized geometry, GGA-PBE.

The structure in POSCAR format:
```
Y2PbSe
1.0
-2.2554 3.0284 3.9808
2.2554 -3.0284 3.9808
2.2554 3.0284 -3.9808
Y Pb Se
2 1 1
direct
0.2321 0.2321 0.0000 Y
0.7679 0.7679 0.0000 Y
0.5000 0.0000 0.5000 Pb
0.0000 0.5000 0.5000 Se
```

Properties
**Final energy**: -5.90 eV per atom

---

(6)
Y2PbSe: optimized geometry, GGA-PBE.

The structure in POSCAR format:
```
Y2PbSe
1.0
3.5486 0.0000 0.0000
0.0000 3.5555 0.0000
-0.0084 0.0000 8.0554
Y Pb Se
2 1 1
direct
0.0002 0.0000 0.2254 Y
0.9998 0.0000 0.7746 Y
0.5000 0.5000 0.5000 Pb
0.5000 0.5000 0.0000 Se
```

Properties
**Final energy**: -6.00 eV per atom

---

(7)
Y2Pb4Se: optimized geometry, GGA-PBE.

The structure in POSCAR format:
```
Y2Pb4Se
1.0
-2.8114 2.8114 7.8101
2.8114 -2.8114 7.8101
2.8114 2.8114 -7.8101
Y Pb Se
2 4 1
direct
0.1130 0.1130 0.0000 Y
0.8870 0.8870 0.0000 Y
0.0000 0.5000 0.5000 Pb
0.3148 0.3148 0.0000 Pb
0.5000 0.0000 0.5000 Pb
0.6852 0.6852 0.0000 Pb
0.5000 0.5000 0.0000 Se
```

Properties
**Final energy**: -4.33 eV per atom

---

(8)
Y2PbSe: optimized geometry, GGA-PBE.

The structure in POSCAR format:
```
Y2PbSe
1.0
1.9022 1.0983 10.1091
-1.9022 1.0983 10.1091
0.0000 -2.1965 10.1091
Y Pb Se
2 1 1
direct
0.0000 0.0000 0.0000 Y
0.2305 0.2305 0.2305 Y
0.4800 0.4800 0.4800 Pb
0.7221 0.7221 0.7221 Se
```

Properties
**Final energy**: -5.53 eV per atom

---

(9)
YPbSe: optimized geometry, GGA-PBE.

The structure in POSCAR format:
```
YPbSe
1.0
2.3618 1.3636 9.3353
-2.3618 1.3636 9.3353
0.0000 -2.7272 9.3353
Y Pb Se
2 2 2
direct
0.1009 0.1009 0.1009 Y
0.8991 0.8991 0.8991 Y
0.3598 0.3598 0.3598 Pb
0.6402 0.6402 0.6402 Pb
0.2056 0.2056 0.2056 Se
0.7944 0.7944 0.7944 Se
```

Properties
**Final energy**: -5.52 eV per atom

---

(10)
YPbSe: optimized geometry, GGA-PBE.

The structure in POSCAR format:
```
YPbSe
1.0
3.9005 0.0000 0.0000
-1.9503 3.3779 0.0000
0.0000 0.0000 7.0180
Y Pb Se
1 1 1
direct
0.0000 0.0000 0.0000 Y
0.6667 0.3333 0.3768 Pb
0.3333 0.6667 0.7699 Se
```

Properties
**Final energy**: -5.30 eV per atom

---

(11)
Y2PbSe: optimized geometry, GGA-PBE.

The structure in POSCAR format:
```
Y2PbSe
1.0
1.9556 1.1291 8.2300
-1.9556 1.1291 8.2300
0.0000 -2.2581 8.2300
Y Pb Se
2 1 1
direct
0.0000 0.0000 0.0000 Y
0.1928 0.1928 0.1928 Y
0.4291 0.4291 0.4291 Pb
0.5972 0.5972 0.5972 Se
```

Properties
**Final energy**: -6.13 eV per atom

---

(12)
Y7PbSe5: optimized geometry, GGA-PBE.

The structure in POSCAR format:
```
Y7PbSe5
1.0
2.0675 -6.6987 0.0000
2.0675 6.6987 0.0000
0.0000 0.0000 24.2399
Y Pb Se
14 2 10
direct
0.0228 0.9772 0.7500 Y
0.1384 0.8616 0.0361 Y
0.1384 0.8616 0.4639 Y
0.3205 0.6795 0.6767 Y
0.3205 0.6795 0.8233 Y
0.4029 0.5971 0.1157 Y
0.4029 0.5971 0.3843 Y
0.5971 0.4029 0.6157 Y
0.5971 0.4029 0.8843 Y
0.6795 0.3205 0.1767 Y
0.6795 0.3205 0.3233 Y
0.8616 0.1384 0.5361 Y
0.8616 0.1384 0.9639 Y
0.9772 0.0228 0.2500 Y
0.3035 0.6965 0.2500 Pb
0.6965 0.3035 0.7500 Pb
0.0453 0.9547 0.1403 Se
0.0453 0.9547 0.3597 Se
0.2259 0.7741 0.5715 Se
0.2259 0.7741 0.9285 Se
0.5000 0.5000 0.0000 Se
0.5000 0.5000 0.5000 Se
0.7741 0.2259 0.0715 Se
0.7741 0.2259 0.4285 Se
0.9547 0.0453 0.6403 Se
0.9547 0.0453 0.8597 Se
```

Properties
**Final energy**: -6.58 eV per atom

---

(13)
Y2PbSe: optimized geometry, GGA-PBE.

The structure in POSCAR format:
```
Y2PbSe
1.0
0.0000 3.7481 3.7481
3.7481 0.0000 3.7481
3.7481 3.7481 0.0000
Y Pb Se
2 1 1
direct
0.2500 0.2500 0.2500 Y
0.7500 0.7500 0.7500 Y
0.0000 0.0000 0.0000 Pb
0.5000 0.5000 0.5000 Se
```

Properties
**Final energy**: -5.84 eV per atom

---

(14)
Y2PbSe4: optimized geometry, GGA-PBE.

The structure in POSCAR format:
```
Y2PbSe4
1.0
-2.7802 2.7802 7.2341
2.7802 -2.7802 7.2341
2.7802 2.7802 -7.2341
Y Pb Se
2 1 4
direct
0.1218 0.1218 0.0000 Y
0.8782 0.8782 0.0000 Y
0.5000 0.5000 0.0000 Pb
0.0000 0.5000 0.5000 Se
0.2982 0.2982 0.0000 Se
0.5000 0.0000 0.5000 Se
0.7018 0.7018 0.0000 Se
```

Properties
**Final energy**: -5.19 eV per atom

---

(15)
Y2PbSe: optimized geometry, GGA-PBE.

The structure in POSCAR format:
```
Y2PbSe
1.0
6.0815 0.0000 0.0000
0.0000 6.0811 0.0000
0.0000 0.0000 12.0841
Y Pb Se
8 4 4
direct
0.0000 0.2493 0.1191 Y
0.0000 0.2507 0.6309 Y
0.0000 0.7493 0.3691 Y
0.0000 0.7507 0.8809 Y
0.5000 0.2493 0.3809 Y
0.5000 0.2507 0.8691 Y
0.5000 0.7493 0.1309 Y
0.5000 0.7507 0.6191 Y
0.0000 0.2494 0.3750 Pb
0.0000 0.7506 0.6250 Pb
0.5000 0.2494 0.1250 Pb
0.5000 0.7506 0.8750 Pb
0.0000 0.2507 0.8750 Se
0.0000 0.7493 0.1250 Se
0.5000 0.2507 0.6250 Se
0.5000 0.7493 0.3750 Se
```

Properties
**Final energy**: -6.19 eV per atom

---

(16)
Y2PbSe: optimized geometry, GGA-PBE.

The structure in POSCAR format:
```
Y2PbSe
1.0
0.0000 3.7772 3.7772
3.7772 0.0000 3.7772
3.7772 3.7772 0.0000
Y Pb Se
2 1 1
direct
0.0000 0.0000 0.0000 Y
0.2500 0.2500 0.2500 Y
0.5000 0.5000 0.5000 Pb
0.7500 0.7500 0.7500 Se
```

Properties
**Final energy**: -5.21 eV per atom

---

(17)
YPbSe: optimized geometry, GGA-PBE.

The structure in POSCAR format:
```
YPbSe
1.0
0.0000 3.5894 3.5894
3.5894 0.0000 3.5894
3.5894 3.5894 0.0000
Y Pb Se
1 1 1
direct
0.0000 0.0000 0.0000 Y
0.2500 0.2500 0.2500 Pb
0.7500 0.7500 0.7500 Se
```

Properties
**Final energy**: -4.94 eV per atom

---

(18)
Y4PbSe2: optimized geometry, GGA-PBE.

The structure in POSCAR format:
```
Y4PbSe2
1.0
2.1142 -6.5980 0.0000
2.1142 6.5980 0.0000
0.0000 0.0000 13.7593
Y Pb Se
8 2 4
direct
0.0000 0.0000 0.0000 Y
0.0000 0.0000 0.5000 Y
0.2680 0.7320 0.6222 Y
0.2680 0.7320 0.8778 Y
0.4371 0.5629 0.2500 Y
0.5629 0.4371 0.7500 Y
0.7320 0.2680 0.1222 Y
0.7320 0.2680 0.3778 Y
0.1087 0.8913 0.2500 Pb
0.8913 0.1087 0.7500 Pb
0.3652 0.6348 0.0587 Se
0.3652 0.6348 0.4413 Se
0.6348 0.3652 0.5587 Se
0.6348 0.3652 0.9413 Se
```

Properties
**Final energy**: -6.43 eV per atom

---

(19)
YPbSe4: optimized geometry, GGA-PBE.

The structure in POSCAR format:
```
YPbSe4
1.0
0.0000 4.1636 4.1636
4.1636 0.0000 4.1636
4.1636 4.1636 0.0000
Y Pb Se
1 1 4
direct
0.0000 0.0000 0.0000 Y
0.7500 0.7500 0.7500 Pb
0.3739 0.3739 0.3739 Se
0.3739 0.3739 0.8782 Se
0.3739 0.8782 0.3739 Se
0.8782 0.3739 0.3739 Se
```

Properties
**Final energy**: -4.03 eV per atom

---

(20)
Y8PbSe6: optimized geometry, GGA-PBE.

The structure in POSCAR format:
```
Y8PbSe6
1.0
10.6159 0.0000 0.0000
-5.3079 9.1936 0.0000
0.0000 0.0000 4.0612
Y Pb Se
8 1 6
direct
0.0361 0.7099 0.2526 Y
0.2901 0.3262 0.2526 Y
0.3262 0.0361 0.7474 Y
0.3333 0.6667 0.7478 Y
0.6667 0.3333 0.2522 Y
0.6738 0.9639 0.2526 Y
0.7099 0.6738 0.7474 Y
0.9639 0.2901 0.7474 Y
0.0000 0.0000 0.5000 Pb
0.1325 0.4826 0.2498 Se
0.3502 0.8675 0.2498 Se
0.4826 0.3502 0.7502 Se
0.5174 0.6498 0.2498 Se
0.6498 0.1325 0.7502 Se
0.8675 0.5174 0.7502 Se
```

Properties
**Final energy**: -6.44 eV per atom

---

(21)
Y5PbSe4: optimized geometry, GGA-PBE.

The structure in POSCAR format:
```
Y5PbSe4
1.0
-4.6620 4.6620 2.9502
4.6620 -4.6620 2.9502
4.6620 4.6620 -2.9502
Y Pb Se
5 1 4
direct
0.0000 0.0000 0.0000 Y
0.1912 0.3987 0.5899 Y
0.3987 0.8088 0.2075 Y
0.6013 0.1912 0.7925 Y
0.8088 0.6013 0.4101 Y
0.5000 0.5000 0.0000 Pb
0.1036 0.7002 0.8038 Se
0.2998 0.1036 0.4035 Se
0.7002 0.8964 0.5965 Se
0.8964 0.2998 0.1962 Se
```

Properties
**Final energy**: -6.52 eV per atom

---

(22)
Y2PbSe: optimized geometry, GGA-PBE.

The structure in POSCAR format:
```
Y2PbSe
1.0
-3.2552 3.2552 7.1345
3.2552 -3.2552 7.1345
3.2552 3.2552 -7.1345
Y Pb Se
4 2 2
direct
0.1031 0.6250 0.9781 Y
0.3750 0.3531 0.4781 Y
0.6469 0.1250 0.0219 Y
0.8750 0.8969 0.5219 Y
0.2500 0.7500 0.5000 Pb
0.5000 0.5000 0.0000 Pb
0.0000 0.0000 0.0000 Se
0.7500 0.2500 0.5000 Se
```

Properties
**Final energy**: -5.70 eV per atom

---

(23)
Y2PbSe: optimized geometry, GGA-PBE.

The structure in POSCAR format:
```
Y2PbSe
1.0
2.1217 1.2250 7.1195
-2.1217 1.2250 7.1195
0.0000 -2.4500 7.1195
Y Pb Se
2 1 1
direct
0.2458 0.2458 0.2458 Y
0.7542 0.7542 0.7542 Y
0.0000 0.0000 0.0000 Pb
0.5000 0.5000 0.5000 Se
```

Properties
**Final energy**: -6.16 eV per atom

---

(24)
YPb3Se: optimized geometry, GGA-PBE.

The structure in POSCAR format:
```
YPb3Se
1.0
5.6220 0.0000 0.0000
0.0000 5.6220 0.0000
0.0000 0.0000 5.6220
Y Pb Se
1 3 1
direct
0.0000 0.0000 0.0000 Y
0.0000 0.5000 0.5000 Pb
0.5000 0.0000 0.5000 Pb
0.5000 0.5000 0.0000 Pb
0.5000 0.5000 0.5000 Se
```

Properties
**Final energy**: -4.01 eV per atom

---

(25)
YPbSe: optimized geometry, GGA-PBE.

The structure in POSCAR format:
```
YPbSe
1.0
0.0000 3.5126 3.5126
3.5126 0.0000 3.5126
3.5126 3.5126 0.0000
Y Pb Se
1 1 1
direct
0.0000 0.0000 0.0000 Y
0.5000 0.5000 0.5000 Pb
0.2500 0.2500 0.2500 Se
```

Properties
**Final energy**: -5.06 eV per atom

---

(26)
YPb3Se: optimized geometry, GGA-PBE.

The structure in POSCAR format:
```
YPb3Se
1.0
5.9349 0.0000 0.0000
0.0000 5.9349 0.0000
0.0000 0.0000 5.9349
Y Pb Se
1 3 1
direct
0.0000 0.0000 0.0000 Y
0.0000 0.0000 0.5000 Pb
0.0000 0.5000 0.0000 Pb
0.5000 0.0000 0.0000 Pb
0.5000 0.5000 0.5000 Se
```

Properties
**Final energy**: -3.62 eV per atom